! ZnCr2O4, optimized geometry, DFT PBE with a Hubbard U; values from VASP
! **Total magnetic moment**: 6.00 μB per formula unit
! **Calculated volume**: 10.1 Å³/atom
! **Symmetry**: No. 62
! **Density of states at the Fermi level**: 0.0 states/eV/cell
! **Total DFT energy (no corrections)**: -6.872 eV per atom
&SYSTEM
  ibrav = 0, nat = 28, ntyp = 3
/
ATOMIC_SPECIES
Zn 65.41 Zn.upf
Cr 52.00 Cr.upf
O 16.00 O.upf
CELL_PARAMETERS angstrom
9.1395 0.0000 0.0000
0.0000 2.9440 0.0000
0.0000 0.0000 10.4654
ATOMIC_POSITIONS crystal
Zn 0.2456 0.2500 0.1572
Zn 0.2544 0.7500 0.6572
Zn 0.7456 0.2500 0.3428
Zn 0.7544 0.7500 0.8428
Cr 0.0509 0.2500 0.3808
Cr 0.0969 0.2500 0.9014
Cr 0.4031 0.7500 0.4014
Cr 0.4491 0.7500 0.8808
Cr 0.5509 0.2500 0.1192
Cr 0.5969 0.2500 0.5986
Cr 0.9031 0.7500 0.0986
Cr 0.9491 0.7500 0.6192
O 0.0622 0.7500 0.7820
O 0.0927 0.2500 0.5688
O 0.1168 0.7500 0.0417
O 0.1919 0.7500 0.3285
O 0.3081 0.2500 0.8285
O 0.3832 0.2500 0.5417
O 0.4073 0.7500 0.0688
O 0.4378 0.2500 0.2820
O 0.5622 0.7500 0.7180
O 0.5927 0.2500 0.9312
O 0.6168 0.7500 0.4583
O 0.6919 0.7500 0.1715
O 0.8081 0.2500 0.6715
O 0.8832 0.2500 0.9583
O 0.9073 0.7500 0.4312
O 0.9378 0.2500 0.2180